# NaPuMg PBE relaxed
# crystal system	cubic
# distance to the lowest polymorph of the same formula	0.000	eV/atom
# total magnetic moment	2.23	μB/atom
data_NaPuMg
_chemical_formula_sum 'Na4 Pu4 Mg4'
_symmetry_space_group_name_H-M 'F -4 3 m'
_symmetry_Int_Tables_number 216
_symmetry_space_group_name_Hall 'F -4 2 3'
_cell_length_a 7.516
_cell_length_b 7.516
_cell_length_c 7.516
_cell_angle_alpha 90.00
_cell_angle_beta 90.00
_cell_angle_gamma 90.00
loop_
_atom_site_label
_atom_site_type_symbol
_atom_site_fract_x
_atom_site_fract_y
_atom_site_fract_z
_atom_site_occupancy
Na1 Na 0.000 0.000 0.000 1
Pu1 Pu 0.000 0.000 0.500 1
Mg1 Mg 0.250 0.250 0.250 1

# ErScAs PBE relaxed
# crystal system	cubic
# total magnetic moment	0.04	μB/atom
data_ErScAs
_chemical_formula_sum 'Er4 Sc4 As4'
_symmetry_space_group_name_H-M 'F -4 3 m'
_symmetry_Int_Tables_number 216
_symmetry_space_group_name_Hall 'F -4 2 3'
_cell_length_a 6.551
_cell_length_b 6.551
_cell_length_c 6.551
_cell_angle_alpha 90.00
_cell_angle_beta 90.00
_cell_angle_gamma 90.00
loop_
_atom_site_label
_atom_site_type_symbol
_atom_site_fract_x
_atom_site_fract_y
_atom_site_fract_z
_atom_site_occupancy
Er1 Er 0.000 0.000 0.000 1
Sc1 Sc 0.000 0.000 0.500 1
As1 As 0.250 0.250 0.250 1

# ZnF2 PBE relaxed
# crystal system	trigonal
data_ZnF2
_chemical_formula_sum 'Zn3 F6'
_symmetry_space_group_name_H-M 'P 31 2 1'
_symmetry_Int_Tables_number 152
_cell_length_a 4.6172
_cell_length_b 4.6172
_cell_length_c 4.9872
_cell_angle_alpha 90.00
_cell_angle_beta 90.00
_cell_angle_gamma 120.00
loop_
_symmetry_equiv_pos_as_xyz
'x,y,z'
'-y,x-y,z+1/3'
'-x+y,-x,z+2/3'
'y,x,-z'
'x-y,-y,-z+2/3'
'-x,-x+y,-z+1/3'
loop_
_atom_site_label
_atom_site_type_symbol
_atom_site_fract_x
_atom_site_fract_y
_atom_site_fract_z
_atom_site_occupancy
Zn1 Zn 0.0000 0.3513 0.1667 1
F1 F 0.0844 0.7091 0.4237 1

Let's list VASP energy in order: -4.97 -5.92 -3.73 eV/atom.